Entry 1:
Density functional theory data (PBE) for an optimized crystal structure of Pr8YSc2.

```
Pr8YSc2
1.0
-2.783 4.304 7.854
2.783 -4.304 7.854
2.783 4.304 -7.854
Pr Y Sc
8 1 2
Cartesian
2.783 2.568 -2.286
0.000 0.000 2.492
0.000 2.612 0.000
2.783 2.568 2.286
0.000 1.735 5.569
0.000 5.995 0.000
0.000 0.000 13.216
0.000 1.735 10.140
2.783 0.000 0.000
2.783 0.000 4.674
0.000 4.304 3.180
```

Summary:
* energy above the most stable polymorph in this dataset: 0 meV/atom
* DFT formation energy: 0.123 eV/atom
* energy: -5.092 eV per atom
* SG: Immm, No. 71
* N(E_F): 1.6721 states/eV/atom

***

Entry 2:
Density functional theory data (PBE) for an optimized crystal structure of PrY2Sc4.

```
PrY2Sc4
1.0
5.928 0.000 0.000
-2.000 7.374 0.000
-0.024 -0.036 9.007
Pr Y Sc
2 4 8
Cartesian
0.000 0.000 0.000
0.992 5.694 0.655
-0.977 3.612 4.582
-1.007 6.905 3.301
2.949 1.606 8.383
1.983 5.246 3.943
-0.017 3.138 7.724
0.993 2.624 1.992
-0.015 6.292 6.461
1.987 2.069 5.217
3.931 1.104 2.658
2.959 4.702 7.083
4.935 0.510 5.840
3.983 4.135 1.331
```

Summary:
* energy above the most stable polymorph in this dataset: 0 meV/atom
* DFT formation energy: 0.068 eV/atom
* energy: -6.080 eV per atom
* SG: P1, No. 1
* N(E_F): 1.6662 states/eV/atom

***

Entry 3:
Density functional theory data (PBE) for an optimized crystal structure of Pr3Y4Sc.

```
Pr3Y4Sc
1.0
3.501 0.000 0.000
0.000 11.724 0.000
0.000 0.000 12.955
Pr Y Sc
6 8 2
Cartesian
0.000 0.000 0.000
0.000 5.862 3.104
0.000 5.862 9.851
1.750 0.000 3.373
1.750 0.000 9.582
1.750 5.862 6.478
0.000 2.846 4.754
0.000 2.846 8.201
0.000 8.878 4.754
0.000 8.878 8.201
1.750 3.016 1.723
1.750 3.016 11.232
1.750 8.708 1.723
1.750 8.708 11.232
0.000 0.000 6.478
1.750 5.862 0.000
```

Summary:
* energy above the most stable polymorph in this dataset: 101 meV/atom
* DFT formation energy: 0.133 eV/atom
* energy: -5.683 eV per atom
* SG: Immm, No. 71
* N(E_F): 1.5440 states/eV/atom

***

Entry 4:
Density functional theory data (PBE) for an optimized crystal structure of Pr2Y3Sc4.

```
Pr2Y3Sc4
1.0
8.101 -5.668 0.000
8.101 5.668 0.000
-0.771 0.000 5.795
Pr Y Sc
4 6 8
Cartesian
5.544 4.219 4.067
9.500 4.219 4.625
5.930 -4.219 1.170
9.886 -4.219 1.728
7.908 4.183 1.449
5.221 1.285 2.256
4.835 -1.285 5.153
10.595 1.285 0.642
10.209 -1.285 3.539
7.522 -4.183 4.346
3.149 1.553 4.894
6.563 1.371 5.576
3.535 -1.553 1.997
8.481 1.371 3.117
6.949 -1.371 2.678
11.895 1.553 3.798
8.867 -1.371 0.219
12.281 -1.553 0.901
```

Summary:
* DFT formation energy: 0.110 eV/atom
* energy: -5.921 eV per atom
* SG: C2/c, No. 15
* N(E_F): 1.7081 states/eV/atom

***

Entry 5:
Density functional theory data (PBE) for an optimized crystal structure of Pr2Y2Sc3.

```
Pr2Y2Sc3
1.0
-4.730 4.730 4.730
4.730 -4.730 4.730
4.730 4.730 -4.730
Pr Y Sc
4 4 6
Cartesian
6.282 -1.552 1.552
1.552 6.282 -1.552
3.178 3.178 3.178
-1.552 1.552 6.282
4.378 0.352 -0.352
0.352 0.352 0.352
0.352 -0.352 4.378
-0.352 4.378 0.352
7.095 1.961 0.000
2.768 0.000 2.365
2.365 2.768 0.000
0.000 2.365 2.768
1.961 0.000 7.095
0.000 7.095 1.961
```

Summary:
* DFT formation energy: 0.216 eV/atom
* energy: -5.710 eV per atom
* SG: I2_13, No. 199
* N(E_F): 1.5801 states/eV/atom

***

Entry 6:
Density functional theory data (PBE) for an optimized crystal structure of Pr2Y9Sc.

```
Pr2Y9Sc
1.0
5.056 0.000 0.000
0.000 5.056 0.000
0.000 0.000 15.138
Pr Y Sc
2 9 1
Cartesian
0.000 0.000 2.551
0.000 0.000 12.588
0.000 2.528 0.000
0.000 2.528 5.150
0.000 2.528 9.988
2.528 0.000 0.000
2.528 0.000 5.150
2.528 0.000 9.988
2.528 2.528 2.583
2.528 2.528 7.569
2.528 2.528 12.556
0.000 0.000 7.569
```

Summary:
* DFT formation energy: 0.035 eV/atom
* energy: -6.138 eV per atom
* SG: P4/mmm, No. 123
* N(E_F): 1.5917 states/eV/atom

***

Entry 7:
Density functional theory data (PBE) for an optimized crystal structure of Pr12Y6Sc.

```
Pr12Y6Sc
1.0
6.144 3.547 5.091
-6.144 3.547 5.091
0.000 -7.094 5.091
Pr Y Sc
12 6 1
Cartesian
-5.538 1.432 6.386
-4.009 -4.080 8.888
-2.089 -0.024 4.738
1.529 -5.512 6.386
1.065 -1.797 4.738
1.023 1.821 4.738
-1.023 -1.821 10.535
-1.065 1.797 10.535
-1.529 5.512 8.888
2.089 0.024 10.535
4.009 4.080 6.386
5.538 -1.432 8.888
-3.373 -0.805 7.993
-0.989 -3.324 7.281
-2.384 2.518 7.281
2.384 -2.518 7.993
0.989 3.324 7.993
3.373 0.805 7.281
0.000 0.000 7.637
```

Summary:
* DFT formation energy: 0.131 eV/atom
* energy: -5.263 eV per atom
* SG: R-3, No. 148
* N(E_F): 1.7786 states/eV/atom

***

Entry 8:
Density functional theory data (PBE) for an optimized crystal structure of PrY6Sc3.

```
PrY6Sc3
1.0
4.843 2.796 3.784
-4.843 2.796 3.784
0.000 -5.593 3.784
Pr Y Sc
1 6 3
Cartesian
0.000 0.000 0.000
-1.650 -2.728 3.792
-3.236 -0.002 5.684
-1.537 2.793 3.792
1.619 -2.802 5.684
3.187 -0.065 3.792
1.617 2.803 5.684
0.000 0.000 2.948
0.000 0.000 5.671
0.000 0.000 8.390
```

Summary:
* energy above the most stable polymorph in this dataset: 13 meV/atom
* DFT formation energy: 0.172 eV/atom
* energy: -6.084 eV per atom
* SG: R3, No. 146
* N(E_F): 1.8590 states/eV/atom